{"formula": "LiTeCl4", "functional": "PBE", "state": "relaxed", "lattice": [[-1.738, -0.679, -3.926], [3.797, -5.300, -0.765], [-8.975, -7.369, 5.247]], "species": ["Cl", "Cl", "Cl", "Cl", "Cl", "Cl", "Cl", "Cl", "Te", "Te", "Li", "Li"], "fractional_positions": [[0.911, 0.677, 0.390], [0.443, 0.827, 0.606], [0.557, 0.173, 0.394], [0.943, 0.673, 0.894], [0.057, 0.327, 0.106], [0.411, 0.823, 0.110], [0.589, 0.177, 0.890], [0.089, 0.323, 0.610], [0.000, 0.000, 0.000], [0.500, 0.500, 0.500], [0.000, 0.000, 0.500], [0.500, 0.500, 0.000]], "space_group": "P2_1/c", "formation_energy_uncorrected_ev_per_atom": -0.893, "energy_ev_per_cell": -35.598, "vol_a3_per_fu": 182}